(1)
{"formula": "AcLaPu2Sb4", "functional": "PBE", "state": "relaxed", "raw_formation_energy_ev_per_atom": -0.3234, "lattice": [[7.841, 0.000, 0.000], [0.000, 4.541, 0.000], [-2.628, 0.000, 7.404]], "species": ["Ac", "La", "Pu", "Pu", "Sb", "Sb", "Sb", "Sb"], "frac_coords": [[0.000, 0.000, 0.000], [0.000, 0.500, 0.500], [0.500, 0.000, 0.500], [0.500, 0.500, 0.000], [0.272, 0.000, 0.752], [0.276, 0.500, 0.263], [0.724, 0.500, 0.737], [0.728, 0.000, 0.248]]}

***

(2)
{"formula": "Ac2LaPuSb4", "functional": "PBE", "state": "relaxed", "raw_formation_energy_ev_per_atom": -1.0488, "lattice": [[8.079, 0.000, 0.000], [0.000, 4.676, 0.000], [-2.699, 0.000, 7.624]], "species": ["Ac", "Ac", "La", "Pu", "Sb", "Sb", "Sb", "Sb"], "frac_coords": [[0.000, 0.000, 0.000], [0.000, 0.500, 0.500], [0.500, 0.000, 0.500], [0.500, 0.500, 0.000], [0.264, 0.500, 0.250], [0.269, 0.000, 0.762], [0.731, 0.000, 0.238], [0.736, 0.500, 0.750]]}

***

(3)
{"formula": "Ac4LaPu3Se8", "functional": "PBE", "state": "relaxed", "raw_formation_energy_ev_per_atom": -1.7488, "lattice": [[4.324, 2.496, 7.121], [-4.324, 2.496, 7.121], [0.000, -4.993, 7.121]], "species": ["Ac", "Ac", "Ac", "Ac", "La", "Pu", "Pu", "Pu", "Se", "Se", "Se", "Se", "Se", "Se", "Se", "Se"], "frac_coords": [[0.000, 0.000, 0.000], [0.000, 0.500, 0.500], [0.500, 0.000, 0.500], [0.500, 0.500, 0.000], [0.500, 0.500, 0.500], [0.000, 0.000, 0.500], [0.000, 0.500, 0.000], [0.500, 0.000, 0.000], [0.239, 0.747, 0.747], [0.243, 0.243, 0.243], [0.253, 0.253, 0.761], [0.253, 0.761, 0.253], [0.747, 0.239, 0.747], [0.747, 0.747, 0.239], [0.757, 0.757, 0.757], [0.761, 0.253, 0.253]]}

***

(4)
{"formula": "AcLa4Pu3Se8", "functional": "PBE", "state": "relaxed", "raw_formation_energy_ev_per_atom": -1.7976, "lattice": [[4.271, 2.466, 7.017], [-4.271, 2.466, 7.017], [0.000, -4.932, 7.017]], "species": ["Ac", "La", "La", "La", "La", "Pu", "Pu", "Pu", "Se", "Se", "Se", "Se", "Se", "Se", "Se", "Se"], "frac_coords": [[0.000, 0.000, 0.000], [0.000, 0.000, 0.500], [0.000, 0.500, 0.000], [0.500, 0.000, 0.000], [0.500, 0.500, 0.500], [0.000, 0.500, 0.500], [0.500, 0.000, 0.500], [0.500, 0.500, 0.000], [0.253, 0.253, 0.739], [0.253, 0.739, 0.253], [0.254, 0.254, 0.254], [0.261, 0.747, 0.747], [0.739, 0.253, 0.253], [0.746, 0.746, 0.746], [0.747, 0.261, 0.747], [0.747, 0.747, 0.261]]}

***

(5)
{"formula": "AcLaPuSi", "functional": "PBE", "state": "relaxed", "raw_formation_energy_ev_per_atom": 0.1551, "lattice": [[7.683, 0.000, 0.000], [0.000, 7.683, 0.000], [0.000, 0.000, 7.683]], "species": ["Ac", "Ac", "Ac", "Ac", "La", "La", "La", "La", "Pu", "Pu", "Pu", "Pu", "Si", "Si", "Si", "Si"], "frac_coords": [[0.000, 0.000, 0.000], [0.000, 0.500, 0.500], [0.500, 0.000, 0.500], [0.500, 0.500, 0.000], [0.250, 0.250, 0.750], [0.250, 0.750, 0.250], [0.750, 0.250, 0.250], [0.750, 0.750, 0.750], [0.250, 0.250, 0.250], [0.250, 0.750, 0.750], [0.750, 0.250, 0.750], [0.750, 0.750, 0.250], [0.000, 0.000, 0.500], [0.000, 0.500, 0.000], [0.500, 0.000, 0.000], [0.500, 0.500, 0.500]]}

***

(6)
{"formula": "AcLaSmPu", "functional": "PBE", "state": "relaxed", "e_form_ev_per_atom": 0.264, "lattice": [[8.325, 0.000, 0.000], [0.000, 8.325, 0.000], [0.000, 0.000, 8.325]], "species": ["Ac", "Ac", "Ac", "Ac", "La", "La", "La", "La", "Sm", "Sm", "Sm", "Sm", "Pu", "Pu", "Pu", "Pu"], "frac_coords": [[0.000, 0.000, 0.000], [0.000, 0.500, 0.500], [0.500, 0.000, 0.500], [0.500, 0.500, 0.000], [0.250, 0.250, 0.750], [0.250, 0.750, 0.250], [0.750, 0.250, 0.250], [0.750, 0.750, 0.750], [0.250, 0.250, 0.250], [0.250, 0.750, 0.750], [0.750, 0.250, 0.750], [0.750, 0.750, 0.250], [0.000, 0.000, 0.500], [0.000, 0.500, 0.000], [0.500, 0.000, 0.000], [0.500, 0.500, 0.500]]}

***

(7)
{"formula": "AcLaPuSn", "functional": "PBE", "state": "relaxed", "e_form_ev_per_atom": -0.077, "lattice": [[8.000, 0.000, 0.000], [0.000, 8.000, 0.000], [0.000, 0.000, 8.000]], "species": ["Ac", "Ac", "Ac", "Ac", "La", "La", "La", "La", "Pu", "Pu", "Pu", "Pu", "Sn", "Sn", "Sn", "Sn"], "frac_coords": [[0.000, 0.000, 0.000], [0.000, 0.500, 0.500], [0.500, 0.000, 0.500], [0.500, 0.500, 0.000], [0.250, 0.250, 0.750], [0.250, 0.750, 0.250], [0.750, 0.250, 0.250], [0.750, 0.750, 0.750], [0.250, 0.250, 0.250], [0.250, 0.750, 0.750], [0.750, 0.250, 0.750], [0.750, 0.750, 0.250], [0.000, 0.000, 0.500], [0.000, 0.500, 0.000], [0.500, 0.000, 0.000], [0.500, 0.500, 0.500]]}

***

(8)
{"formula": "AcLaTbPu", "functional": "PBE", "state": "relaxed", "e_form_ev_per_atom": 0.266, "lattice": [[8.280, 0.000, 0.000], [0.000, 8.280, 0.000], [0.000, 0.000, 8.280]], "species": ["Ac", "Ac", "Ac", "Ac", "La", "La", "La", "La", "Tb", "Tb", "Tb", "Tb", "Pu", "Pu", "Pu", "Pu"], "frac_coords": [[0.000, 0.000, 0.000], [0.000, 0.500, 0.500], [0.500, 0.000, 0.500], [0.500, 0.500, 0.000], [0.250, 0.250, 0.750], [0.250, 0.750, 0.250], [0.750, 0.250, 0.250], [0.750, 0.750, 0.750], [0.250, 0.250, 0.250], [0.250, 0.750, 0.750], [0.750, 0.250, 0.750], [0.750, 0.750, 0.250], [0.000, 0.000, 0.500], [0.000, 0.500, 0.000], [0.500, 0.000, 0.000], [0.500, 0.500, 0.500]]}

***

(9)
{"formula": "Ac3La2PuTe6", "functional": "PBE", "state": "relaxed", "raw_formation_energy_ev_per_atom": -1.4622, "lattice": [[10.111, -2.310, 0.000], [10.111, 2.310, 0.000], [-2.159, 0.000, 9.051]], "species": ["Ac", "Ac", "Ac", "La", "La", "Pu", "Te", "Te", "Te", "Te", "Te", "Te"], "frac_coords": [[0.000, 0.000, 0.000], [0.332, 0.332, 0.665], [0.668, 0.668, 0.335], [0.335, 0.335, 0.169], [0.665, 0.665, 0.831], [0.000, 0.000, 0.500], [0.161, 0.161, 0.587], [0.169, 0.169, 0.078], [0.499, 0.499, 0.263], [0.501, 0.501, 0.737], [0.831, 0.831, 0.922], [0.839, 0.839, 0.413]]}

***

(10)
{"formula": "Ac2La3PuTe6", "functional": "PBE", "state": "relaxed", "raw_formation_energy_ev_per_atom": -1.4745, "lattice": [[10.060, -2.300, 0.000], [10.060, 2.300, 0.000], [-2.152, 0.000, 9.007]], "species": ["Ac", "Ac", "La", "La", "La", "Pu", "Te", "Te", "Te", "Te", "Te", "Te"], "frac_coords": [[0.165, 0.165, 0.331], [0.835, 0.835, 0.669], [0.170, 0.170, 0.836], [0.500, 0.500, 0.500], [0.830, 0.830, 0.164], [0.500, 0.500, 0.000], [0.004, 0.004, 0.759], [0.335, 0.335, 0.411], [0.337, 0.337, 0.925], [0.663, 0.663, 0.075], [0.665, 0.665, 0.589], [0.996, 0.996, 0.241]]}

***

(11)
{"formula": "AcLaPuTl", "functional": "PBE", "state": "relaxed", "e_form_ev_per_atom": 0.126, "lattice": [[8.072, 0.000, 0.000], [0.000, 8.072, 0.000], [0.000, 0.000, 8.072]], "species": ["Ac", "Ac", "Ac", "Ac", "La", "La", "La", "La", "Pu", "Pu", "Pu", "Pu", "Tl", "Tl", "Tl", "Tl"], "frac_coords": [[0.000, 0.000, 0.000], [0.000, 0.500, 0.500], [0.500, 0.000, 0.500], [0.500, 0.500, 0.000], [0.250, 0.250, 0.750], [0.250, 0.750, 0.250], [0.750, 0.250, 0.250], [0.750, 0.750, 0.750], [0.250, 0.250, 0.250], [0.250, 0.750, 0.750], [0.750, 0.250, 0.750], [0.750, 0.750, 0.250], [0.000, 0.000, 0.500], [0.000, 0.500, 0.000], [0.500, 0.000, 0.000], [0.500, 0.500, 0.500]]}

***

(12)
{"formula": "AcLaYPu", "functional": "PBE", "state": "relaxed", "e_form_ev_per_atom": 0.265, "lattice": [[8.293, 0.000, 0.000], [0.000, 8.293, 0.000], [0.000, 0.000, 8.293]], "species": ["Ac", "Ac", "Ac", "Ac", "La", "La", "La", "La", "Y", "Y", "Y", "Y", "Pu", "Pu", "Pu", "Pu"], "frac_coords": [[0.000, 0.000, 0.000], [0.000, 0.500, 0.500], [0.500, 0.000, 0.500], [0.500, 0.500, 0.000], [0.250, 0.250, 0.250], [0.250, 0.750, 0.750], [0.750, 0.250, 0.750], [0.750, 0.750, 0.250], [0.250, 0.250, 0.750], [0.250, 0.750, 0.250], [0.750, 0.250, 0.250], [0.750, 0.750, 0.750], [0.000, 0.000, 0.500], [0.000, 0.500, 0.000], [0.500, 0.000, 0.000], [0.500, 0.500, 0.500]]}

***

Number 1: electronic total energy -7.097 eV/atom. Number 2: electronic total energy -6.545 eV/atom. Number 3: electronic total energy -7.513 eV/atom. Number 4: electronic total energy -7.716 eV/atom. Number 5: electronic total energy -7.043 eV/atom. Number 6: electronic total energy -6.757 eV/atom. Number 7: electronic total energy -6.920 eV/atom. Number 8: electronic total energy -6.734 eV/atom. Number 9: electronic total energy -6.076 eV/atom. Number 10: electronic total energy -6.156 eV/atom. Number 11: electronic total energy -6.308 eV/atom. Number 12: electronic total energy -7.193 eV/atom.